# 1
# BaLiSb2 (PBE, relaxed)
data_BaLiSb2
_symmetry_space_group_name_H-M 'P n m a'
_symmetry_Int_Tables_number 62
_cell_length_a 7.9245
_cell_length_b 5.1443
_cell_length_c 12.1612
_cell_angle_alpha 90.00
_cell_angle_beta 90.00
_cell_angle_gamma 90.00
loop_
_symmetry_equiv_pos_as_xyz
'x,y,z'
'-x,-y,-z'
'-x+1/2,-y,z+1/2'
'x+1/2,y,-z+1/2'
'x+1/2,-y+1/2,-z+1/2'
'-x+1/2,y+1/2,z+1/2'
'-x,y+1/2,-z'
'x,-y+1/2,z'
loop_
_atom_site_label
_atom_site_fract_x
_atom_site_fract_y
_atom_site_fract_z
_atom_site_occupancy
Ba1 0.1520 0.2500 0.1264 1
Li1 0.0176 0.2500 0.6271 1
Sb1 0.1733 0.2500 0.4176 1
Sb2 0.1744 0.2500 0.8352 1
# - calculated volume (Å³ per cell) = 495.8
# - total DFT energy (no corrections) (eV/atom) = -3.742
# - energy above the most stable polymorph in this dataset (eV per formula unit) = 0.00
# - M_tot (μB/atom) = 0.0000

---

# 2
# BaLiSb4 (PBE, relaxed)
data_BaLiSb4
_symmetry_space_group_name_H-M 'F -4 3 m'
_symmetry_Int_Tables_number 216
_symmetry_space_group_name_Hall 'F -4 2 3'
_cell_length_a 9.1201
_cell_length_b 9.1201
_cell_length_c 9.1201
_cell_angle_alpha 90.00
_cell_angle_beta 90.00
_cell_angle_gamma 90.00
loop_
_atom_site_label
_atom_site_fract_x
_atom_site_fract_y
_atom_site_fract_z
_atom_site_occupancy
Ba1 0.0000 0.0000 0.0000 1
Li1 0.2500 0.2500 0.7500 1
Sb1 0.1236 0.1236 0.3764 1
# - calculated volume (Å³ per cell) = 758.6
# - total DFT energy (no corrections) (eV/atom) = -3.695
# - M_tot (μB/atom) = 0.0000

---

# 3
# BaLi2Sb (PBE, relaxed)
data_BaLi2Sb
_symmetry_space_group_name_H-M 'P 1 m 1'
_symmetry_Int_Tables_number 6
_cell_length_a 4.6491
_cell_length_b 4.7052
_cell_length_c 6.5576
_cell_angle_alpha 90.00
_cell_angle_beta 110.34
_cell_angle_gamma 90.00
loop_
_symmetry_equiv_pos_as_xyz
'x,y,z'
'x,-y,z'
loop_
_atom_site_label
_atom_site_fract_x
_atom_site_fract_y
_atom_site_fract_z
_atom_site_occupancy
Ba1 0.0000 0.0000 0.0000 1
Li1 0.2925 0.0000 0.5736 1
Li2 0.7639 0.5000 0.5207 1
Sb1 0.3953 0.5000 0.7874 1
# - calculated volume (Å³ per cell) = 134.5
# - total DFT energy (no corrections) (eV/atom) = -2.998
# - M_tot (μB/atom) = 0.1535

---

# 4
# BaLiSb2 (PBE, relaxed)
data_BaLiSb2
_symmetry_space_group_name_H-M 'I m m 2'
_symmetry_Int_Tables_number 44
_cell_length_a 4.2164
_cell_length_b 4.8708
_cell_length_c 12.8693
_cell_angle_alpha 90.00
_cell_angle_beta 90.00
_cell_angle_gamma 90.00
loop_
_symmetry_equiv_pos_as_xyz
'x,y,z'
'-x,-y,z'
'-x,y,z'
'x,-y,z'
'x+1/2,y+1/2,z+1/2'
'-x+1/2,-y+1/2,z+1/2'
'-x+1/2,y+1/2,z+1/2'
'x+1/2,-y+1/2,z+1/2'
loop_
_atom_site_label
_atom_site_fract_x
_atom_site_fract_y
_atom_site_fract_z
_atom_site_occupancy
Ba1 0.0000 0.0000 0.0000 1
Li1 0.0000 0.5000 0.7414 1
Sb1 0.0000 0.0000 0.5965 1
Sb2 0.0000 0.5000 0.2656 1
# - calculated volume (Å³ per cell) = 264.3
# - total DFT energy (no corrections) (eV/atom) = -3.526
# - energy above the most stable polymorph in this dataset (eV per formula unit) = 0.87
# - M_tot (μB/atom) = 0.0000

---

# 5
# BaLi2Sb (PBE, relaxed)
data_BaLi2Sb
_symmetry_space_group_name_H-M 'P 4/m m m'
_symmetry_Int_Tables_number 123
_symmetry_space_group_name_Hall '-P 4 2'
_cell_length_a 4.9274
_cell_length_b 4.9274
_cell_length_c 5.0426
_cell_angle_alpha 90.00
_cell_angle_beta 90.00
_cell_angle_gamma 90.00
loop_
_atom_site_label
_atom_site_fract_x
_atom_site_fract_y
_atom_site_fract_z
_atom_site_occupancy
Ba1 0.0000 0.0000 0.0000 1
Li1 0.0000 0.5000 0.5000 1
Sb1 0.5000 0.5000 0.0000 1
# - calculated volume (Å³ per cell) = 122.4
# - total DFT energy (no corrections) (eV/atom) = -2.845
# - M_tot (μB/atom) = 0.2037

---

# 6
# BaLiSb2 (PBE, relaxed)
data_BaLiSb2
_symmetry_space_group_name_H-M 'C 1 m 1'
_symmetry_Int_Tables_number 8
_cell_length_a 10.6795
_cell_length_b 4.6102
_cell_length_c 5.5739
_cell_angle_alpha 90.00
_cell_angle_beta 106.63
_cell_angle_gamma 90.00
loop_
_symmetry_equiv_pos_as_xyz
'x,y,z'
'x,-y,z'
'x+1/2,y+1/2,z'
'x+1/2,-y+1/2,z'
loop_
_atom_site_label
_atom_site_fract_x
_atom_site_fract_y
_atom_site_fract_z
_atom_site_occupancy
Ba1 0.0000 0.0000 0.0000 1
Li1 0.2798 0.5000 0.3954 1
Sb1 0.2307 0.0000 0.6336 1
Sb2 0.4820 0.0000 0.4963 1
# - calculated volume (Å³ per cell) = 262.9
# - total DFT energy (no corrections) (eV/atom) = -3.559
# - energy above the most stable polymorph in this dataset (eV per formula unit) = 0.73
# - M_tot (μB/atom) = 0.0000